Density functional theory data (PBE) for a relaxed structure of Sm2Zn4Pd5.

Results
Total energy ... -4.283 eV/atom
DOS at the Fermi energy ... 0.37 states/eV/atom
Theoretical density ... 8.758 Mg/m³
Crystal system ... orthorhombic
Formation enthalpy at 0 K ... -0.601 eV per atom
Magnetization ... 0.0 μB/f.u.

Cell lengths 5.683, 5.452, 8.347 Å; angles 79.78, 70.10, 58.59 degrees
Positions (direct):
Sm: 0.873 0.000 0.255
Sm: 0.127 0.000 0.745
Zn: 0.475 0.309 0.740
Zn: 0.525 0.691 0.260
Zn: 0.215 0.309 0.260
Zn: 0.785 0.691 0.740
Pd: 0.500 0.000 0.000
Pd: 0.000 0.500 0.000
Pd: 0.500 0.500 0.000
Pd: 0.250 0.500 0.500
Pd: 0.750 0.500 0.500